#A
A plane-wave DFT calculation with PBE was carried out for Sn3HgSb3 after structural relaxation.

The structure in CIF format:
```
data_Sn3HgSb3
_chemical_formula_sum 'Sn6 Hg2 Sb6'
_cell_length_a 8.369
_cell_length_b 8.369
_cell_length_c 8.369
_cell_angle_alpha 90.00
_cell_angle_beta 90.00
_cell_angle_gamma 90.00
_symmetry_space_group_name_H-M 'P m -3 n'
_symmetry_Int_Tables_number 223
_symmetry_space_group_name_Hall '-P 4n 2 3'
loop_
_atom_site_label
_atom_site_type_symbol
_atom_site_fract_x
_atom_site_fract_y
_atom_site_fract_z
_atom_site_occupancy
Sn1 Sn 0.000 0.250 0.500 1
Hg1 Hg 0.000 0.000 0.000 1
Sb1 Sb 0.000 0.500 0.250 1
```

Properties
Its volume is 41.9 Å³/atom. The density of states at the Fermi level comes out at 12.293 states/eV/cell. The spin magnetization comes out at 0.0 μB per cell.


#B
A plane-wave DFT calculation with PBE was carried out for Sn3HgSb3 after structural relaxation.

The structure in CIF format:
```
data_Sn3HgSb3
_chemical_formula_sum 'Sn6 Hg2 Sb6'
_cell_length_a 9.1008
_cell_length_b 9.1008
_cell_length_c 5.7166
_cell_angle_alpha 90.00
_cell_angle_beta 90.00
_cell_angle_gamma 120.00
_symmetry_space_group_name_H-M 'P 63/m'
_symmetry_Int_Tables_number 176
_symmetry_space_group_name_Hall '-P 6c'
loop_
_atom_site_label
_atom_site_type_symbol
_atom_site_fract_x
_atom_site_fract_y
_atom_site_fract_z
_atom_site_occupancy
Sn1 Sn 0.0201 0.7795 0.2500 1
Hg1 Hg 0.3333 0.6667 0.2500 1
Sb1 Sb 0.0230 0.6041 0.7500 1
```

Properties
Its volume is 29.3 Å³/atom. The density of states at the Fermi level comes out at 2.623 states/eV/cell. The spin magnetization comes out at 0.0 μB per cell.


Most stable: #B


#A
A plane-wave DFT calculation with PBE was carried out for SnHgSbTe2 after structural relaxation.

The structure in CIF format:
```
data_SnHgSbTe2
_chemical_formula_sum 'Sn1 Hg1 Sb1 Te2'
_cell_length_a 5.877
_cell_length_b 5.877
_cell_length_c 5.408
_cell_angle_alpha 90.00
_cell_angle_beta 90.00
_cell_angle_gamma 90.00
_symmetry_space_group_name_H-M 'P 4/m m m'
_symmetry_Int_Tables_number 123
_symmetry_space_group_name_Hall '-P 4 2'
loop_
_atom_site_label
_atom_site_type_symbol
_atom_site_fract_x
_atom_site_fract_y
_atom_site_fract_z
_atom_site_occupancy
Sn1 Sn 0.000 0.000 0.000 1
Hg1 Hg 0.500 0.500 0.000 1
Sb1 Sb 0.500 0.500 0.500 1
Te1 Te 0.000 0.500 0.500 1
```

Properties
Its volume is 37.4 Å³/atom. The density of states at the Fermi level comes out at 2.391 states/eV/cell. The spin magnetization comes out at 0.0 μB per cell.


#B
A plane-wave DFT calculation with PBE was carried out for SnHgSbTe2 after structural relaxation.

The structure in CIF format:
```
data_SnHgSbTe2
_chemical_formula_sum 'Sn1 Hg1 Sb1 Te2'
_cell_length_a 5.755
_cell_length_b 5.755
_cell_length_c 5.768
_cell_angle_alpha 90.00
_cell_angle_beta 90.00
_cell_angle_gamma 90.00
_symmetry_space_group_name_H-M 'P 4/m m m'
_symmetry_Int_Tables_number 123
_symmetry_space_group_name_Hall '-P 4 2'
loop_
_atom_site_label
_atom_site_type_symbol
_atom_site_fract_x
_atom_site_fract_y
_atom_site_fract_z
_atom_site_occupancy
Sn1 Sn 0.000 0.000 0.000 1
Hg1 Hg 0.500 0.500 0.500 1
Sb1 Sb 0.000 0.000 0.500 1
Te1 Te 0.000 0.500 0.000 1
```

Properties
Its volume is 38.2 Å³/atom. The density of states at the Fermi level comes out at 4.876 states/eV/cell. The spin magnetization comes out at 0.7 μB per cell.


Most stable: #A


#A
A plane-wave DFT calculation with PBE was carried out for SrHg3Sb after structural relaxation.

The structure in CIF format:
```
data_SrHg3Sb
_chemical_formula_sum 'Sr2 Hg6 Sb2'
_cell_length_a 6.492
_cell_length_b 6.856
_cell_length_c 6.688
_cell_angle_alpha 90.00
_cell_angle_beta 90.00
_cell_angle_gamma 90.00
_symmetry_space_group_name_H-M 'P m n 21'
_symmetry_Int_Tables_number 31
_symmetry_space_group_name_Hall 'P 2ac -2'
loop_
_atom_site_label
_atom_site_type_symbol
_atom_site_fract_x
_atom_site_fract_y
_atom_site_fract_z
_atom_site_occupancy
Sr1 Sr 0.000 0.244 0.000 1
Hg1 Hg 0.000 0.895 0.652 1
Hg2 Hg 0.250 0.232 0.505 1
Sb1 Sb 0.000 0.592 0.353 1
```

Properties
Its volume is 29.8 Å³/atom. The density of states at the Fermi level comes out at 3.718 states/eV/cell. The spin magnetization comes out at 0.0 μB per cell.


#B
A plane-wave DFT calculation with PBE was carried out for SrHg3Sb after structural relaxation.

The structure in CIF format:
```
data_SrHg3Sb
_chemical_formula_sum 'Sr1 Hg3 Sb1'
_cell_length_a 6.104
_cell_length_b 6.104
_cell_length_c 6.104
_cell_angle_alpha 90.00
_cell_angle_beta 90.00
_cell_angle_gamma 90.00
_symmetry_space_group_name_H-M 'P m -3 m'
_symmetry_Int_Tables_number 221
_symmetry_space_group_name_Hall '-P 4 2 3'
loop_
_atom_site_label
_atom_site_type_symbol
_atom_site_fract_x
_atom_site_fract_y
_atom_site_fract_z
_atom_site_occupancy
Sr1 Sr 0.000 0.000 0.000 1
Hg1 Hg 0.000 0.000 0.500 1
Sb1 Sb 0.500 0.500 0.500 1
```

Properties
Its volume is 45.5 Å³/atom. The density of states at the Fermi level comes out at 6.001 states/eV/cell. The spin magnetization comes out at 1.3 μB per cell.


Most stable: #A